Record 1
## BeFe2Se (PBEsol)

Data for crystalline BeFe2Se at its relaxed geometry.

Properties
energy: -25.62 eV per formula unit
N(E_F): 1.988 states/eV/f.u.
formation energy without anion corrections: 0.040 eV per atom
density: 7.32 g/cm3

a = 3.038 Å, b = 3.038 Å, c = 4.905 Å
α = 90.00°, β = 90.00°, γ = 90.00°
Space group P4mm (No. 99)
Symmetry-distinct sites (fractional):
Be1 0.000 0.000 0.000 x1
Fe1 0.000 0.000 0.468 x1
Fe2 0.500 0.500 0.190 x1
Se1 0.500 0.500 0.709 x1

Record 2
## Ba2TlAs (PBEsol)

Data for crystalline Ba2TlAs at its relaxed geometry.

Properties
energy: -13.60 eV per formula unit
N(E_F): 4.897 states/eV/f.u.
formation enthalpy at 0 K: -390 meV/atom
density: 6.01 g/cm3

a = 4.731 Å, b = 4.731 Å, c = 6.834 Å
α = 90.00°, β = 90.00°, γ = 90.00°
Space group P4mm (No. 99)
Symmetry-distinct sites (fractional):
Ba1 0.000 0.000 0.000 x1
Ba2 0.500 0.500 0.430 x1
Tl1 0.000 0.000 0.528 x1
As1 0.500 0.500 0.912 x1

Record 3
## MgCo2Pb (PBEsol)

Data for crystalline MgCo2Pb at its relaxed geometry.

Properties
energy: -20.14 eV per formula unit
N(E_F): 2.512 states/eV/f.u.
formation enthalpy at 0 K: 262 meV/atom
density: 9.99 g/cm3

a = 4.186 Å, b = 4.186 Å, c = 3.314 Å
α = 90.00°, β = 90.00°, γ = 90.00°
Space group P4/mmm (No. 123)
Symmetry-distinct sites (fractional):
Mg1 0.000 0.000 0.000 x1
Co1 0.000 0.500 0.500 x2
Pb1 0.500 0.500 0.000 x1

Record 4
## Ta3Os5 (PBEsol)

Data for crystalline Ta3Os5 at its relaxed geometry.

Properties
energy: -100.38 eV per formula unit
N(E_F): 4.379 states/eV/f.u.
formation enthalpy at 0 K: -206 meV/atom
density: 20.25 g/cm3

a = 7.214 Å, b = 8.211 Å, c = 4.137 Å
α = 90.00°, β = 90.00°, γ = 90.00°
Space group Cmmm (No. 65)
Symmetry-distinct sites (fractional):
Ta1 0.000 0.000 0.000 x2
Ta2 0.000 0.283 0.500 x4
Os1 0.000 0.500 0.000 x2
Os2 0.223 0.000 0.500 x4
Os3 0.250 0.250 0.000 x4